Entry i
Below is crystalline HoCdB at its relaxed geometry, with properties calculated at the PBE level.

Cell lengths 6.0943, 6.0943, 6.0943 Å; angles 90.00, 90.00, 90.00 degrees
Element x y z (fractional)
Ho 0.0000 0.0000 0.0000
Ho 0.0000 0.5000 0.5000
Ho 0.5000 0.0000 0.5000
Ho 0.5000 0.5000 0.0000
Cd 0.0000 0.0000 0.5000
Cd 0.0000 0.5000 0.0000
Cd 0.5000 0.0000 0.0000
Cd 0.5000 0.5000 0.5000
B 0.2500 0.2500 0.2500
B 0.2500 0.7500 0.7500
B 0.7500 0.2500 0.7500
B 0.7500 0.7500 0.2500

Output
Total moment   0.0001 μB/atom
Space group   No. 216


Entry ii
Below is crystalline HoCdB at its relaxed geometry, with properties calculated at the PBE level.

Cell lengths 6.2735, 6.2735, 6.2735 Å; angles 90.00, 90.00, 90.00 degrees
Element x y z (fractional)
Ho 0.0000 0.0000 0.0000
Ho 0.0000 0.5000 0.5000
Ho 0.5000 0.0000 0.5000
Ho 0.5000 0.5000 0.0000
Cd 0.2500 0.2500 0.7500
Cd 0.2500 0.7500 0.2500
Cd 0.7500 0.2500 0.2500
Cd 0.7500 0.7500 0.7500
B 0.0000 0.0000 0.5000
B 0.0000 0.5000 0.0000
B 0.5000 0.0000 0.0000
B 0.5000 0.5000 0.5000

Output
Total moment   0.0003 μB/atom
Space group   No. 216


Name the most stable of them. entry i.


Entry i
Below is crystalline HoCdB4 at its relaxed geometry, with properties calculated at the PBE level.

Cell lengths 3.1912, 5.3964, 8.0356 Å; angles 90.00, 90.00, 90.00 degrees
Element x y z (fractional)
Ho 0.0000 0.0000 0.0000
Ho 0.5000 0.5000 0.5000
Cd 0.0000 0.0000 0.5000
Cd 0.5000 0.5000 0.0000
B 0.0000 0.3241 0.2605
B 0.0000 0.3241 0.7395
B 0.0000 0.6759 0.2605
B 0.0000 0.6759 0.7395
B 0.5000 0.1759 0.2395
B 0.5000 0.1759 0.7605
B 0.5000 0.8241 0.2395
B 0.5000 0.8241 0.7605

Output
Total moment   0.0000 μB/atom
Space group   No. 71


Entry ii
Below is crystalline HoCdB4 at its relaxed geometry, with properties calculated at the PBE level.

Cell lengths 3.2172, 3.2172, 7.6570 Å; angles 90.00, 90.00, 120.00 degrees
Element x y z (fractional)
Ho 0.0000 0.0000 0.0000
Cd 0.0000 0.0000 0.5000
B 0.3333 0.6667 0.2455
B 0.3333 0.6667 0.7545
B 0.6667 0.3333 0.2455
B 0.6667 0.3333 0.7545

Output
Total moment   0.0013 μB/atom
Space group   No. 191


Name the most stable of them. entry i.


Entry i
Below is crystalline KCdB at its relaxed geometry, with properties calculated at the PBE level.

Cell lengths 6.7230, 6.7230, 6.7230 Å; angles 90.00, 90.00, 90.00 degrees
Element x y z (fractional)
K 0.0000 0.0000 0.0000
K 0.0000 0.5000 0.5000
K 0.5000 0.0000 0.5000
K 0.5000 0.5000 0.0000
Cd 0.0000 0.0000 0.5000
Cd 0.0000 0.5000 0.0000
Cd 0.5000 0.0000 0.0000
Cd 0.5000 0.5000 0.5000
B 0.2500 0.2500 0.7500
B 0.2500 0.7500 0.2500
B 0.7500 0.2500 0.2500
B 0.7500 0.7500 0.7500

Output
Space group   No. 216


Entry ii
Below is crystalline KCdB at its relaxed geometry, with properties calculated at the PBE level.

Cell lengths 6.9191, 6.9191, 6.9191 Å; angles 90.00, 90.00, 90.00 degrees
Element x y z (fractional)
K 0.0000 0.0000 0.0000
K 0.0000 0.5000 0.5000
K 0.5000 0.0000 0.5000
K 0.5000 0.5000 0.0000
Cd 0.2500 0.2500 0.7500
Cd 0.2500 0.7500 0.2500
Cd 0.7500 0.2500 0.2500
Cd 0.7500 0.7500 0.7500
B 0.0000 0.0000 0.5000
B 0.0000 0.5000 0.0000
B 0.5000 0.0000 0.0000
B 0.5000 0.5000 0.5000

Output
Space group   No. 216


Name the most stable of them. entry i.


Entry i
Below is crystalline Lu2CdB at its relaxed geometry, with properties calculated at the PBE level.

Cell lengths 6.9609, 6.9609, 6.9609 Å; angles 90.00, 90.00, 90.00 degrees
Element x y z (fractional)
Lu 0.0000 0.0000 0.0000
Lu 0.0000 0.5000 0.5000
Lu 0.2500 0.2500 0.2500
Lu 0.2500 0.7500 0.7500
Lu 0.5000 0.0000 0.5000
Lu 0.5000 0.5000 0.0000
Lu 0.7500 0.2500 0.7500
Lu 0.7500 0.7500 0.2500
Cd 0.2500 0.2500 0.7500
Cd 0.2500 0.7500 0.2500
Cd 0.7500 0.2500 0.2500
Cd 0.7500 0.7500 0.7500
B 0.0000 0.0000 0.5000
B 0.0000 0.5000 0.0000
B 0.5000 0.0000 0.0000
B 0.5000 0.5000 0.5000

Output
Total moment   0.0009 μB/atom
Space group   No. 216


Entry ii
Below is crystalline Lu2CdB at its relaxed geometry, with properties calculated at the PBE level.

Cell lengths 3.5171, 3.5171, 16.5929 Å; angles 90.00, 90.00, 120.00 degrees
Element x y z (fractional)
Lu 0.3333 0.6667 0.0910
Lu 0.3333 0.6667 0.4090
Lu 0.6667 0.3333 0.5910
Lu 0.6667 0.3333 0.9090
Cd 0.3333 0.6667 0.7500
Cd 0.6667 0.3333 0.2500
B 0.0000 0.0000 0.0000
B 0.0000 0.0000 0.5000

Output
Total moment   0.0076 μB/atom
Space group   No. 194


Name the most stable of them. entry ii.


Entry i
Below is crystalline LuCdNiB at its relaxed geometry, with properties calculated at the PBE level.

Cell lengths 6.2769, 6.2769, 6.2769 Å; angles 90.00, 90.00, 90.00 degrees
Element x y z (fractional)
Lu 0.0000 0.0000 0.0000
Lu 0.0000 0.5000 0.5000
Lu 0.5000 0.0000 0.5000
Lu 0.5000 0.5000 0.0000
Cd 0.0000 0.0000 0.5000
Cd 0.0000 0.5000 0.0000
Cd 0.5000 0.0000 0.0000
Cd 0.5000 0.5000 0.5000
Ni 0.2500 0.2500 0.7500
Ni 0.2500 0.7500 0.2500
Ni 0.7500 0.2500 0.2500
Ni 0.7500 0.7500 0.7500
B 0.2500 0.2500 0.2500
B 0.2500 0.7500 0.7500
B 0.7500 0.2500 0.7500
B 0.7500 0.7500 0.2500

Output
Total moment   0.0034 μB/atom
Space group   No. 216


Entry ii
Below is crystalline LuCdNiB at its relaxed geometry, with properties calculated at the PBE level.

Cell lengths 6.2786, 6.2786, 6.2786 Å; angles 90.00, 90.00, 90.00 degrees
Element x y z (fractional)
Lu 0.0000 0.0000 0.0000
Lu 0.0000 0.5000 0.5000
Lu 0.5000 0.0000 0.5000
Lu 0.5000 0.5000 0.0000
Cd 0.2500 0.2500 0.7500
Cd 0.2500 0.7500 0.2500
Cd 0.7500 0.2500 0.2500
Cd 0.7500 0.7500 0.7500
Ni 0.0000 0.0000 0.5000
Ni 0.0000 0.5000 0.0000
Ni 0.5000 0.0000 0.0000
Ni 0.5000 0.5000 0.5000
B 0.2500 0.2500 0.2500
B 0.2500 0.7500 0.7500
B 0.7500 0.2500 0.7500
B 0.7500 0.7500 0.2500

Output
Total moment   0.0010 μB/atom
Space group   No. 216


Name the most stable of them. entry i.


Entry i
Below is crystalline CdBMo2 at its relaxed geometry, with properties calculated at the PBE level.

Cell lengths 6.1902, 6.1902, 6.1902 Å; angles 90.00, 90.00, 90.00 degrees
Element x y z (fractional)
Cd 0.0000 0.0000 0.0000
Cd 0.0000 0.5000 0.5000
Cd 0.5000 0.0000 0.5000
Cd 0.5000 0.5000 0.0000
B 0.2500 0.2500 0.7500
B 0.2500 0.7500 0.2500
B 0.7500 0.2500 0.2500
B 0.7500 0.7500 0.7500
Mo 0.0000 0.0000 0.5000
Mo 0.0000 0.5000 0.0000
Mo 0.2500 0.2500 0.2500
Mo 0.2500 0.7500 0.7500
Mo 0.5000 0.0000 0.0000
Mo 0.5000 0.5000 0.5000
Mo 0.7500 0.2500 0.7500
Mo 0.7500 0.7500 0.2500

Output
Total moment   0.0001 μB/atom
Space group   No. 216


Entry ii
Below is crystalline CdBMo2 at its relaxed geometry, with properties calculated at the PBE level.

Cell lengths 3.1397, 3.1397, 14.2558 Å; angles 90.00, 90.00, 120.00 degrees
Element x y z (fractional)
Cd 0.3333 0.6667 0.2500
Cd 0.6667 0.3333 0.7500
B 0.0000 0.0000 0.0000
B 0.0000 0.0000 0.5000
Mo 0.3333 0.6667 0.5807
Mo 0.3333 0.6667 0.9193
Mo 0.6667 0.3333 0.0807
Mo 0.6667 0.3333 0.4193

Output
Total moment   0.0000 μB/atom
Space group   No. 194


Name the most stable of them. entry ii.


Entry i
Below is crystalline NaCdB4 at its relaxed geometry, with properties calculated at the PBE level.

Cell lengths 3.0755, 5.3227, 8.1081 Å; angles 90.00, 90.00, 90.00 degrees
Element x y z (fractional)
Na 0.0000 0.0000 0.0000
Na 0.5000 0.5000 0.5000
Cd 0.0000 0.0000 0.5000
Cd 0.5000 0.5000 0.0000
B 0.0000 0.3342 0.2530
B 0.0000 0.3342 0.7470
B 0.0000 0.6658 0.2530
B 0.0000 0.6658 0.7470
B 0.5000 0.1658 0.2470
B 0.5000 0.1658 0.7530
B 0.5000 0.8342 0.2470
B 0.5000 0.8342 0.7530

Output
Space group   No. 71


Entry ii
Below is crystalline NaCdB4 at its relaxed geometry, with properties calculated at the PBE level.

Cell lengths 3.0894, 3.0894, 8.1389 Å; angles 90.00, 90.00, 120.00 degrees
Element x y z (fractional)
Na 0.0000 0.0000 0.0000
Cd 0.0000 0.0000 0.5000
B 0.3333 0.6667 0.2564
B 0.3333 0.6667 0.7436
B 0.6667 0.3333 0.2564
B 0.6667 0.3333 0.7436

Output
Space group   No. 191


Name the most stable of them. entry i.